Entry 1:
# Tb2Sm8In

Tb2Sm8In after structural relaxation (PBE, Alexandria).

Computed properties:
Energy relative to the lowest polymorph listed for this composition   0 meV/atom

Cell: 5.024 8.029 9.454 Å, 105.02 105.41 90.00°
Sites, in units of the cell vectors:
Tb: 0.776 0.366 0.552
Tb: 0.224 0.634 0.448
Sm: 0.410 0.557 0.820
Sm: 0.679 0.909 0.359
Sm: 0.864 0.822 0.728
Sm: 0.955 0.273 0.911
Sm: 0.136 0.178 0.272
Sm: 0.321 0.091 0.641
Sm: 0.590 0.443 0.180
Sm: 0.045 0.727 0.089
In: 0.500 0.000 0.000

***

Entry 2:
# KCa2Ag

KCa2Ag after structural relaxation (PBE, Alexandria).

Computed properties:
Energy relative to the lowest polymorph listed for this composition   246 meV/atom

Cell: 6.667 6.667 6.667 Å, 135.35 135.35 64.98°
Sites, in units of the cell vectors:
Ag: 0.750 0.250 0.500
Ca: 0.000 0.000 0.000
Ca: 0.250 0.750 0.500
K: 0.500 0.500 0.000

***

Entry 3:
# Tb3CeDyEr

Tb3CeDyEr after structural relaxation (PBE, Alexandria).

Cell: 5.649 6.520 11.446 Å, 90.00 90.00 115.67°
Sites, in units of the cell vectors:
Tb: 0.673 0.347 0.468
Tb: 0.327 0.653 0.532
Tb: 0.327 0.653 0.968
Tb: 0.673 0.347 0.032
Tb: 0.138 0.276 0.750
Tb: 0.862 0.724 0.250
Ce: 0.529 0.058 0.750
Ce: 0.471 0.942 0.250
Dy: 0.000 0.000 0.500
Dy: 0.000 0.000 0.000
Er: 0.829 0.657 0.750
Er: 0.171 0.343 0.250

***

Entry 4:
# Pm3Nd4In2

Pm3Nd4In2 after structural relaxation (PBE, Alexandria).

Computed properties:
Energy relative to the lowest polymorph listed for this composition   0 meV/atom

Cell: 5.465 6.942 9.774 Å, 59.98 73.81 66.82°
Sites, in units of the cell vectors:
Pm: 0.578 0.194 0.649
Pm: 0.000 0.000 0.000
Pm: 0.422 0.806 0.351
Nd: 0.331 0.376 0.963
Nd: 0.879 0.585 0.656
Nd: 0.121 0.415 0.344
Nd: 0.669 0.624 0.037
In: 0.790 0.101 0.318
In: 0.210 0.899 0.682

***

no.,DFT formation energy (eV per atom),electronic total energy (eV for the cell shown)
1,-0.066,-50.5
2,0.161,-7.3
3,0.158,-56.1
4,-0.187,-40.5